## CdNi2B2O6 (PBE+U)

Data for a geometry-optimized CdNi2B2O6 structure.

abc: 5.047 5.047 5.896
angles: 90.00 90.00 120.00
Element x y z (fractional)
Cd (0.000, 0.000, 0.000)
Ni (0.333, 0.667, 0.330)
Ni (0.667, 0.333, 0.670)
B (0.333, 0.667, 0.765)
B (0.667, 0.333, 0.235)
O (0.058, 0.664, 0.759)
O (0.336, 0.394, 0.759)
O (0.394, 0.058, 0.241)
O (0.606, 0.942, 0.759)
O (0.664, 0.606, 0.241)
O (0.942, 0.336, 0.241)

The density is 4436 kg/m3. The density of states at the Fermi level is 0.00 states/eV/f.u. As for the total magnetic moment: 4.0 μB/cell. For the uncorrected energy, the calculation gives -66.5 eV for the cell shown.